# Li2LaZn3 | the Alexandria database | PBE-GGA | optimized geometry
# Formation energy (meV per atom): -215.5
# M_tot (μB/f.u.): 0.0
data_Li2LaZn3
_symmetry_space_group_name_H-M 'P 1'
_symmetry_Int_Tables_number 1
_cell_length_a 5.3809
_cell_length_b 5.3809
_cell_length_c 4.4554
_cell_angle_alpha 90.00
_cell_angle_beta 90.00
_cell_angle_gamma 120.00
loop_
_symmetry_equiv_pos_as_xyz
'x,y,z'
loop_
_atom_site_label
_atom_site_fract_x
_atom_site_fract_y
_atom_site_fract_z
Li1 0.3333 0.6667 0.0000
Li2 0.6667 0.3333 0.0000
La1 0.0000 0.0000 0.0000
Zn1 0.0000 0.5000 0.5000
Zn2 0.5000 0.0000 0.5000
Zn3 0.5000 0.5000 0.5000

# EuLu2H | the Alexandria database | PBE-GGA | optimized geometry
# M_tot (μB/f.u.): 8.1
# Energy (Ry per atom): -0.417
data_EuLu2H
_symmetry_space_group_name_H-M 'P 1'
_symmetry_Int_Tables_number 1
_cell_length_a 9.6300
_cell_length_b 9.6300
_cell_length_c 9.6300
_cell_angle_alpha 20.75
_cell_angle_beta 20.75
_cell_angle_gamma 20.75
loop_
_symmetry_equiv_pos_as_xyz
'x,y,z'
loop_
_atom_site_label
_atom_site_fract_x
_atom_site_fract_y
_atom_site_fract_z
Eu1 0.0000 0.0000 0.0000
Lu1 0.1208 0.1208 0.1208
Lu2 0.8792 0.8792 0.8792
H1 0.5000 0.5000 0.5000